An optimized crystal structure of ZrWF3, computed with GGA+U.

Cell lengths 4.399, 4.399, 4.399 Å; angles 90.00, 90.00, 90.00 degrees
Last column: magnetic moment on the atom in μB.
Sites, in units of the cell vectors:
Zr  0.000  0.000  0.000  0.76
F  0.000  0.500  0.000  0.10
W  0.500  0.500  0.500  4.08
F  0.000  0.000  0.500  0.06
F  0.500  0.000  0.000  0.08

- crystal system = cubic
- space-group type = Pm-3m (221)
- energy above the most stable polymorph in this dataset (meV per atom) = 0.0